The following is a PBE with a Hubbard U calculation of an optimized crystal structure of PrUVO6, from Alexandria via LeMat-Bulk.

extended XYZ file:
```
18
Lattice="5.4420 0.0000 0.0000 -2.7210 4.7129 0.0000 0.0000 0.0000 10.2660" Properties=species:S:1:pos:R:3 pbc="T T T"
O 1.7845 2.9979 6.5921
Pr 0.0000 0.0000 0.0000
O 4.4250 1.6685 6.5921
O 3.6575 2.9979 8.8069
O 3.4885 0.0465 8.8069
O 0.7675 4.6664 3.6739
O -1.7040 3.0444 3.6739
O 1.7040 3.0444 1.4591
O -0.9365 1.7150 1.4591
O 1.9534 0.0465 6.5921
O 0.9365 1.7150 3.6739
U 0.0000 3.1419 7.6995
V 0.0000 3.1419 2.5665
O 1.0170 1.6685 8.8069
O -0.7676 4.6664 1.4591
U 2.7210 1.5710 2.5665
V 2.7210 1.5710 7.6995
Pr 0.0000 0.0000 5.1330
```

Summary:
N(E_F), states/eV/cell: 10.9
SG: P-31c, No. 163
Total magnetic moment, Bohr magnetons per cell: 4.0
Total DFT energy (no corrections), eV/atom: -8.81